(1)
Below is a geometry-optimized SbMo2Rh structure, with properties calculated at the PBE-GGA level.

```
SbMo2Rh
1.0
3.3966 0.0000 0.0000
0.0000 3.3966 0.0000
0.0000 0.0000 5.8649
Sb Mo Rh
1 2 1
Cartesian
0.0000 0.0000 0.0000
0.0000 0.0000 2.9157
1.6983 1.6983 1.7778
1.6983 1.6983 4.6526
```

Results
Energy relative to the elements, uncorrected, eV per atom: 0.101
M_tot, μB per atom: 0.000

=====

(2)
Below is a geometry-optimized SbMo2Rh structure, with properties calculated at the PBE-GGA level.

```
SbMo2Rh
1.0
6.4395 0.0000 0.0000
0.0000 6.4395 0.0000
0.0000 0.0000 6.4395
Sb Mo Rh
4 8 4
Cartesian
0.0000 0.0000 0.0000
0.0000 3.2198 3.2198
3.2198 0.0000 3.2198
3.2198 3.2198 0.0000
0.0000 0.0000 3.2198
0.0000 3.2198 0.0000
1.6099 1.6099 1.6099
1.6099 4.8296 4.8296
3.2198 0.0000 0.0000
3.2198 3.2198 3.2198
4.8296 1.6099 4.8296
4.8296 4.8296 1.6099
1.6099 1.6099 4.8296
1.6099 4.8296 1.6099
4.8296 1.6099 1.6099
4.8296 4.8296 4.8296
```

Results
Energy relative to the elements, uncorrected, eV per atom: 0.181
M_tot, μB per atom: 0.460

=====

(3)
Below is a geometry-optimized SbMo2Rh structure, with properties calculated at the PBE-GGA level.

```
SbMo2Rh
1.0
3.0753 0.0000 0.0000
0.0000 3.0753 0.0000
0.0000 0.0000 6.9907
Sb Mo Rh
1 2 1
Cartesian
0.0000 0.0000 0.0000
1.5377 1.5377 1.7628
1.5377 1.5377 5.2279
0.0000 0.0000 3.4954
```

Results
Energy relative to the elements, uncorrected, eV per atom: 0.219
M_tot, μB per atom: 0.000

=====

(4)
Below is a geometry-optimized SbMo2Rh structure, with properties calculated at the PBE-GGA level.

```
SbMo2Rh
1.0
3.4633 0.0000 0.0000
0.0000 4.5001 0.0000
0.0000 0.0000 8.5165
Sb Mo Rh
2 4 2
Cartesian
0.0000 0.0000 0.0000
1.7316 2.2501 4.2583
0.0000 0.0000 4.2423
0.0000 2.2501 6.4727
1.7316 0.0000 2.2144
1.7316 2.2501 8.5006
0.0000 2.2501 2.2694
1.7316 0.0000 6.5277
```

Results
Energy relative to the elements, uncorrected, eV per atom: 0.082
M_tot, μB per atom: 0.000

=====

(5)
Below is a geometry-optimized SbMo2Rh structure, with properties calculated at the PBE-GGA level.

```
SbMo2Rh
1.0
3.0801 0.0000 0.0000
-1.5400 2.6674 0.0000
0.0000 0.0000 25.3417
Sb Mo Rh
3 6 3
Cartesian
0.0000 0.0000 0.0000
0.0000 1.7783 16.8945
1.5400 0.8891 8.4472
0.0000 0.0000 12.6628
0.0000 0.0000 19.1753
0.0000 1.7783 4.2155
0.0000 1.7783 10.7281
1.5400 0.8891 2.2809
1.5400 0.8891 21.1100
0.0000 0.0000 6.2780
0.0000 1.7783 23.1724
1.5400 0.8891 14.7252
```

Results
Energy relative to the elements, uncorrected, eV per atom: 0.226
M_tot, μB per atom: 0.000

=====

(6)
Below is a geometry-optimized SbMo2Rh structure, with properties calculated at the PBE-GGA level.

```
SbMo2Rh
1.0
6.0966 0.0000 0.0000
0.0000 6.0966 0.0000
0.0000 0.0000 10.6491
Sb Mo Rh
4 8 4
Cartesian
0.0000 0.0000 0.0000
0.0000 3.0483 2.6623
3.0483 0.0000 7.9868
3.0483 3.0483 5.3245
1.3021 1.5241 6.6557
1.5241 4.3504 9.3179
1.5241 4.7945 3.9934
1.7462 1.5241 1.3311
4.3504 4.5724 1.3311
4.5724 1.3021 3.9934
4.5724 1.7462 9.3179
4.7945 4.5724 6.6557
0.0000 0.0000 5.3245
0.0000 3.0483 7.9868
3.0483 0.0000 2.6623
3.0483 3.0483 0.0000
```

Results
Energy relative to the elements, uncorrected, eV per atom: 1.129
M_tot, μB per atom: 0.000